Density functional theory data (PBE) for a relaxed YZn3H crystal.

Properties
- uncorrected energy (eV/atom) = -2.66
- SG = Pm-3m (221)
- V (Å³ per cell) = 80.1
- magnetic moment (μB per formula unit) = 0.00

a = 4.310 Å, b = 4.310 Å, c = 4.310 Å
α = 90.00°, β = 90.00°, γ = 90.00°
Sites, in units of the cell vectors:
Zn (0.500, 0.000, 0.000)
Zn (0.000, 0.500, 0.000)
H (0.000, 0.000, 0.000)
Y (0.500, 0.500, 0.500)
Zn (0.000, 0.000, 0.500)

Density functional theory data (PBE) for a relaxed FeTcW2 crystal.

Properties
- formation energy (meV per atom) = 313
- ΔE to the lowest computed polymorph (meV/atom) = 210
- SG = R3m (160)
- V (Å³ per cell) = 59.3
- magnetic moment (μB per formula unit) = 1.61

a = 9.275 Å, b = 9.275 Å, c = 9.275 Å
α = 16.97°, β = 16.97°, γ = 16.97°
Each line ends with the local moment (μB).
Sites, in units of the cell vectors:
Fe (0.497, 0.497, 0.497)  1.72
W (0.244, 0.244, 0.244)  -0.03
W (0.002, 0.002, 0.002)  0.00
Tc (0.756, 0.756, 0.756)  -0.07

Density functional theory data (PBE) for a relaxed MgVCoIr crystal.

Properties
- formation energy (meV per atom) = -253
- SG = F-43m (216)
- V (Å³ per cell) = 54.3
- magnetic moment (μB per formula unit) = 1.02

a = 4.252 Å, b = 4.252 Å, c = 4.252 Å
α = 60.00°, β = 60.00°, γ = 60.00°
Each line ends with the local moment (μB).
Sites, in units of the cell vectors:
Co (0.500, 0.500, 0.500)  0.96
Ir (0.000, 0.000, 0.000)  0.04
Mg (0.250, 0.250, 0.250)  -0.01
V (0.750, 0.750, 0.750)  0.09

Density functional theory data (PBE) for a relaxed Ba3Si2SbPt9 crystal.

Properties
- SG = P-3m1 (164)
- V (Å³ per cell) = 342.8
- magnetic moment (μB per formula unit) = 0.00
- raw formation energy (eV/f.u.) = -8.24

a = 6.599 Å, b = 6.599 Å, c = 9.089 Å
α = 90.00°, β = 90.00°, γ = 120.00°
Sites, in units of the cell vectors:
Si (0.333, 0.667, 0.173)
Pt (0.148, 0.852, 0.275)
Pt (0.500, 0.000, 0.000)
Ba (0.667, 0.333, 0.356)
Pt (0.295, 0.148, 0.725)
Sb (0.000, 0.000, 0.500)
Ba (0.000, 0.000, 0.000)
Ba (0.333, 0.667, 0.644)
Pt (0.852, 0.148, 0.725)
Pt (0.148, 0.295, 0.275)
Pt (0.852, 0.705, 0.725)
Si (0.667, 0.333, 0.827)
Pt (0.000, 0.500, 0.000)
Pt (0.705, 0.852, 0.275)
Pt (0.500, 0.500, 0.000)

Density functional theory data (PBE) for a relaxed La3Tb5Pm4 crystal.

Properties
- formation energy (meV per atom) = 220
- ΔE to the lowest computed polymorph (meV/atom) = 201
- SG = C2/m (12)
- V (Å³ per cell) = 416.9
- magnetic moment (μB per formula unit) = 0.10

a = 6.042 Å, b = 8.691 Å, c = 9.830 Å
α = 105.80°, β = 72.10°, γ = 69.66°
Sites, in units of the cell vectors:
Tb (0.219, 0.453, 0.108)
Pm (0.169, 0.038, 0.624)
La (0.000, 0.500, 0.500)
Tb (0.376, 0.052, 0.197)
Pm (0.141, 0.777, 0.942)
Tb (0.624, 0.948, 0.803)
Tb (0.781, 0.547, 0.892)
La (0.518, 0.689, 0.274)
Tb (0.500, 0.500, 0.500)
Pm (0.859, 0.223, 0.058)
Pm (0.831, 0.962, 0.376)
La (0.482, 0.311, 0.726)

Density functional theory data (PBE) for a relaxed PrSm4Sn4 crystal.

Properties
- formation energy (meV per atom) = -456
- SG = P4_2/n (86)
- V (Å³ per cell) = 624.8
- magnetic moment (μB per formula unit) = 0.00

a = 6.286 Å, b = 9.970 Å, c = 9.970 Å
α = 90.00°, β = 90.00°, γ = 90.00°
Sites, in units of the cell vectors:
Sm (0.387, 0.665, 0.097)
Sn (0.391, 0.631, 0.781)
Sn (0.891, 0.719, 0.131)
Sm (0.613, 0.903, 0.665)
Sm (0.613, 0.097, 0.335)
Sm (0.887, 0.403, 0.165)
Sm (0.387, 0.335, 0.903)
Pr (0.500, 0.500, 0.500)
Sn (0.609, 0.781, 0.369)
Sn (0.391, 0.369, 0.219)
Pr (0.000, 0.000, 0.000)
Sn (0.609, 0.219, 0.631)
Sm (0.887, 0.597, 0.835)
Sm (0.113, 0.835, 0.403)
Sm (0.113, 0.165, 0.597)
Sn (0.891, 0.281, 0.869)
Sn (0.109, 0.869, 0.719)
Sn (0.109, 0.131, 0.281)

Density functional theory data (PBE) for a relaxed SrMgTl2Se crystal.

Properties
- SG = P4/mmm (123)
- V (Å³ per cell) = 183.9
- magnetic moment (μB per formula unit) = 0.00
- raw formation energy (eV/f.u.) = -0.17

a = 5.283 Å, b = 6.589 Å, c = 5.283 Å
α = 90.00°, β = 90.00°, γ = 90.00°
Sites, in units of the cell vectors:
Tl (0.500, 0.000, 0.000)
Se (0.500, 0.500, 0.500)
Tl (0.000, 0.000, 0.500)
Sr (0.000, 0.500, 0.000)
Mg (0.000, 0.000, 0.000)

Density functional theory data (PBE) for a relaxed Ca3Hf2ScAs6 crystal.

Properties
- formation energy (meV per atom) = -1162
- SG = C2/m (12)
- V (Å³ per cell) = 278.1
- magnetic moment (μB per formula unit) = 0.00

a = 6.862 Å, b = 6.862 Å, c = 7.196 Å
α = 99.17°, β = 99.17°, γ = 120.03°
Sites, in units of the cell vectors:
As (0.411, 0.075, 0.224)
As (0.738, 0.738, 0.223)
Ca (0.166, 0.834, 0.500)
Hf (0.667, 0.333, 0.000)
Hf (0.333, 0.667, 0.000)
Ca (0.500, 0.500, 0.500)
As (0.075, 0.411, 0.224)
Sc (0.000, 0.000, 0.000)
As (0.925, 0.589, 0.776)
Ca (0.834, 0.166, 0.500)
As (0.262, 0.262, 0.777)
As (0.589, 0.925, 0.776)

Density functional theory data (PBE) for a relaxed Zr4ScOs crystal.

Properties
- formation energy (meV per atom) = -43
- ΔE to the lowest computed polymorph (meV/atom) = 134
- SG = C2/c (15)
- V (Å³ per cell) = 267.8
- magnetic moment (μB per formula unit) = 0.00

a = 5.777 Å, b = 8.164 Å, c = 7.336 Å
α = 113.82°, β = 100.25°, γ = 112.81°
Sites, in units of the cell vectors:
Sc (0.359, 0.609, 0.218)
Sc (0.641, 0.391, 0.782)
Os (0.748, 0.998, 0.995)
Zr (0.958, 0.819, 0.199)
Zr (0.232, 0.285, 0.365)
Zr (0.741, 0.380, 0.199)
Zr (0.367, 0.921, 0.635)
Zr (0.768, 0.715, 0.635)
Zr (0.633, 0.079, 0.365)
Zr (0.042, 0.181, 0.801)
Zr (0.259, 0.620, 0.801)
Os (0.252, 0.002, 0.005)

Density functional theory data (PBE) for a relaxed SrBTe3 crystal.

Properties
- ΔE to the lowest computed polymorph (meV/atom) = 1207
- SG = Pm-3m (221)
- V (Å³ per cell) = 237.1
- magnetic moment (μB per formula unit) = 1.98
- raw formation energy (eV/f.u.) = 5.77

a = 6.190 Å, b = 6.190 Å, c = 6.190 Å
α = 90.00°, β = 90.00°, γ = 90.00°
Each line ends with the local moment (μB).
Sites, in units of the cell vectors:
B (0.500, 0.500, 0.500)  -0.05
Te (0.000, 0.500, 0.000)  0.40
Te (0.500, 0.000, 0.000)  0.26
Sr (0.000, 0.000, 0.000)  0.01
Te (0.000, 0.000, 0.500)  0.45

Density functional theory data (PBE) for a relaxed LuV4Sn crystal.

Properties
- formation energy (meV per atom) = 85
- SG = F-43m (216)
- V (Å³ per cell) = 101.4
- magnetic moment (μB per formula unit) = 0.00

a = 5.235 Å, b = 5.235 Å, c = 5.235 Å
α = 60.00°, β = 60.00°, γ = 60.00°
Sites, in units of the cell vectors:
V (0.113, 0.629, 0.629)
Lu (0.000, 0.000, 0.000)
V (0.629, 0.629, 0.629)
V (0.629, 0.629, 0.113)
V (0.629, 0.113, 0.629)
Sn (0.250, 0.250, 0.250)

Density functional theory data (PBE) for a relaxed AlHBr4 crystal.

Properties
- uncorrected energy (eV/atom) = -3.06
- SG = C2/c (15)
- V (Å³ per cell) = 368.8
- magnetic moment (μB per formula unit) = 0.00

a = 6.470 Å, b = 6.194 Å, c = 9.747 Å
α = 71.47°, β = 88.30°, γ = 84.65°
Sites, in units of the cell vectors:
Al (0.750, 0.050, 0.399)
Br (0.126, 0.608, 0.798)
Br (0.410, 0.273, 0.405)
Br (0.374, 0.094, 0.798)
Br (0.874, 0.392, 0.202)
Br (0.626, 0.906, 0.202)
H (0.250, 0.360, 0.780)
Br (0.910, 0.178, 0.595)
Br (0.590, 0.727, 0.595)
Al (0.250, 0.950, 0.601)
Br (0.090, 0.822, 0.405)
H (0.750, 0.640, 0.220)

Density functional theory data (PBE) for a relaxed Tb2Ga5Pd4 crystal.

Properties
- formation energy (meV per atom) = -743
- SG = Fmmm (69)
- V (Å³ per cell) = 204.5
- magnetic moment (μB per formula unit) = 0.00

a = 5.388 Å, b = 5.309 Å, c = 8.724 Å
α = 80.98°, β = 72.01°, γ = 59.51°
Sites, in units of the cell vectors:
Pd (0.792, 0.677, 0.739)
Pd (0.469, 0.323, 0.739)
Ga (0.250, 0.500, 0.500)
Ga (0.500, 0.000, 0.000)
Ga (0.750, 0.500, 0.500)
Tb (0.876, 0.000, 0.247)
Pd (0.531, 0.677, 0.261)
Ga (0.500, 0.500, 0.000)
Tb (0.124, 0.000, 0.753)
Pd (0.208, 0.323, 0.261)
Ga (0.000, 0.500, 0.000)

Density functional theory data (PBE) for a relaxed TlAg2Pb crystal.

Properties
- formation energy (meV per atom) = 140
- ΔE to the lowest computed polymorph (meV/atom) = 58
- SG = I-4m2 (119)
- V (Å³ per cell) = 95.6
- magnetic moment (μB per formula unit) = 0.00

a = 5.813 Å, b = 5.813 Å, c = 5.813 Å
α = 135.35°, β = 135.35°, γ = 64.98°
Sites, in units of the cell vectors:
Tl (0.750, 0.250, 0.500)
Ag (0.000, 0.000, 0.000)
Ag (0.250, 0.750, 0.500)
Pb (0.500, 0.500, 0.000)

Density functional theory data (PBE) for a relaxed MgCdP crystal.

Properties
- formation energy (meV per atom) = -96
- ΔE to the lowest computed polymorph (meV/atom) = 194
- SG = P3m1 (156)
- V (Å³ per cell) = 65.9
- magnetic moment (μB per formula unit) = 0.00

a = 4.090 Å, b = 4.090 Å, c = 4.550 Å
α = 90.00°, β = 90.00°, γ = 120.00°
Sites, in units of the cell vectors:
P (0.667, 0.333, 0.641)
Cd (0.000, 0.000, 0.945)
Mg (0.333, 0.667, 0.413)

Density functional theory data (PBE) for a relaxed LaDy2Sb crystal.

Properties
- ΔE to the lowest computed polymorph (meV/atom) = 0
- SG = Cmcm (63)
- V (Å³ per cell) = 250.7
- magnetic moment (μB per formula unit) = 0.40
- raw formation energy (eV/f.u.) = -2.29

a = 4.127 Å, b = 6.556 Å, c = 9.763 Å
α = 90.00°, β = 90.00°, γ = 108.36°
Each line ends with the local moment (μB).
Sites, in units of the cell vectors:
Sb (0.766, 0.533, 0.750)  0.00
Sb (0.234, 0.467, 0.250)  0.00
Dy (0.639, 0.278, 0.462)  0.07
La (0.054, 0.109, 0.750)  0.07
La (0.946, 0.891, 0.250)  0.07
Dy (0.639, 0.278, 0.038)  0.07
Dy (0.361, 0.722, 0.538)  0.07
Dy (0.361, 0.722, 0.962)  0.07

Density functional theory data (PBE) for a relaxed BaSm2Pd9 crystal.

Properties
- formation energy (meV per atom) = -622
- SG = R-3m (166)
- V (Å³ per cell) = 236.4
- magnetic moment (μB per formula unit) = 0.00

a = 5.516 Å, b = 5.516 Å, c = 9.522 Å
α = 73.16°, β = 73.16°, γ = 60.00°
Sites, in units of the cell vectors:
Ba (0.000, 0.000, 0.000)
Pd (0.500, 0.500, 0.500)
Pd (0.589, 0.082, 0.740)
Pd (0.918, 0.411, 0.260)
Sm (0.140, 0.140, 0.581)
Pd (0.411, 0.411, 0.260)
Pd (0.082, 0.589, 0.740)
Pd (0.411, 0.918, 0.260)
Sm (0.860, 0.860, 0.419)
Pd (0.333, 0.333, 0.001)
Pd (0.667, 0.667, 0.999)
Pd (0.589, 0.589, 0.740)

Density functional theory data (PBE) for a relaxed MgCu2MoOs crystal.

Properties
- formation energy (meV per atom) = 1810
- SG = P4/mmm (123)
- V (Å³ per cell) = 82.3
- magnetic moment (μB per formula unit) = 0.00

a = 4.151 Å, b = 4.774 Å, c = 4.151 Å
α = 90.00°, β = 90.00°, γ = 90.00°
Sites, in units of the cell vectors:
Mg (0.000, 0.000, 0.000)
Mo (0.000, 0.500, 0.000)
Cu (0.500, 0.000, 0.000)
Os (0.500, 0.500, 0.500)
Cu (0.000, 0.000, 0.500)

Density functional theory data (PBE) for a relaxed HfNbGaGe2 crystal.

Properties
- formation energy (meV per atom) = 652
- SG = P4/mmm (123)
- V (Å³ per cell) = 116.9
- magnetic moment (μB per formula unit) = 0.00

a = 4.886 Å, b = 4.898 Å, c = 4.886 Å
α = 90.00°, β = 90.00°, γ = 90.00°
Sites, in units of the cell vectors:
Ga (0.000, 0.500, 0.000)
Hf (0.500, 0.500, 0.500)
Ge (0.500, 0.000, 0.000)
Ge (0.000, 0.000, 0.500)
Nb (0.000, 0.000, 0.000)

Density functional theory data (PBE) for a relaxed SrI2N2 crystal.

Properties
- ΔE to the lowest computed polymorph (meV/atom) = 2123
- SG = P4/mmm (123)
- V (Å³ per cell) = 177.1
- magnetic moment (μB per formula unit) = 4.70
- raw formation energy (eV/f.u.) = 5.50

a = 5.116 Å, b = 5.116 Å, c = 6.767 Å
α = 90.00°, β = 90.00°, γ = 90.00°
Each line ends with the local moment (μB).
Sites, in units of the cell vectors:
N (0.500, 0.000, 0.000)  1.43
I (0.500, 0.500, 0.500)  0.07
N (0.000, 0.500, 0.000)  1.43
I (0.000, 0.000, 0.500)  0.03
Sr (0.000, 0.000, 0.000)  0.03